RbBa5Sr4 | PBE-GGA | relaxed

POSCAR file:
```
RbBa5Sr4
1.0
-2.6749 -3.9979 -0.3777
0.8229 -0.1015 -4.7533
21.7737 -14.9546 4.0890
Rb Ba Sr
1 5 4
Direct
0.0000 0.0000 0.0000
0.5000 0.5000 0.1231
0.5000 0.5000 0.3134
0.5000 0.5000 0.5000
0.5000 0.5000 0.6866
0.5000 0.5000 0.8769
0.0000 0.0000 0.2218
0.0000 0.0000 0.4059
0.0000 0.0000 0.5941
0.0000 0.0000 0.7782
```

Calculated values
Space-group type   P4/mmm, No. 123

=====

RbBaSr14 | PBE-GGA | relaxed

POSCAR file:
```
RbBaSr14
1.0
8.6360 -0.0186 0.0000
0.0181 8.6360 0.0000
0.0000 0.0000 12.0670
Rb Ba Sr
1 1 14
Direct
0.3750 0.3750 0.5000
0.8750 0.8750 0.5000
0.8750 0.8750 0.0000
0.3750 0.3750 0.0000
0.8750 0.3750 0.5000
0.8750 0.3750 0.0000
0.3750 0.8750 0.5000
0.3750 0.8750 0.0000
0.6271 0.1230 0.2431
0.6271 0.1230 0.7569
0.1230 0.6271 0.2431
0.1230 0.6271 0.7569
0.6270 0.6270 0.2431
0.6270 0.6270 0.7569
0.1230 0.1230 0.2432
0.1230 0.1230 0.7568
```

Calculated values
Space-group type   P4/mmm, No. 123

=====

Rb2Ba2Sr | PBE-GGA | relaxed

POSCAR file:
```
Rb2Ba2Sr
1.0
-1.6755 -5.2712 -0.2312
4.0162 -1.4315 3.5309
-6.2437 -1.3993 10.8745
Sr Ba Rb
1 2 2
Direct
0.0000 0.0000 0.0000
0.4124 0.4124 0.1753
0.5876 0.5876 0.8247
0.7500 0.2500 0.5000
0.2500 0.7500 0.5000
```

Calculated values
Space-group type   I4/mmm, No. 139
Distance to the lowest polymorph of the same formula   0.003 eV/atom

=====

RbBa2Sr | PBE-GGA | relaxed

POSCAR file:
```
RbBa2Sr
1.0
4.8429 0.0000 0.0000
0.0000 7.3602 0.0000
0.0000 0.0000 7.3602
Sr Ba Rb
1 2 1
Direct
0.5000 0.5000 0.5000
0.0000 0.0000 0.5000
0.0000 0.5000 0.0000
0.5000 0.0000 0.0000
```

Calculated values
Space-group type   P4/mmm, No. 123
Distance to the lowest polymorph of the same formula   0.055 eV/atom

=====

RbBa2Sr | PBE-GGA | relaxed

POSCAR file:
```
RbBa2Sr
1.0
-3.4165 -1.7803 2.1497
2.3348 0.0389 3.7430
-4.7585 12.5585 2.8377
Sr Ba Rb
1 2 1
Direct
0.5000 0.5000 0.0000
0.0000 0.0000 0.7719
0.0000 0.0000 0.2281
0.5000 0.5000 0.5000
```

Calculated values
Space-group type   P4/mmm, No. 123
Distance to the lowest polymorph of the same formula   0.012 eV/atom

=====

Rb2Ba2Sr | PBE-GGA | relaxed

POSCAR file:
```
Rb2Ba2Sr
1.0
-7.0723 8.9776 3.0453
-5.8478 -7.1218 7.4144
3.1583 1.2393 3.6813
Sr Ba Rb
2 4 4
Direct
0.0000 0.0000 0.0000
0.5000 0.5000 0.0000
0.1791 0.6791 0.5000
0.6791 0.8209 0.5000
0.8209 0.3209 0.5000
0.3209 0.1791 0.5000
0.3766 0.8766 0.0000
0.8766 0.6234 0.0000
0.6234 0.1234 0.0000
0.1234 0.3766 0.0000
```

Calculated values
Space-group type   P4/mbm, No. 127
Distance to the lowest polymorph of the same formula   0.000 eV/atom

=====

RbBa2Sr2 | PBE-GGA | relaxed

POSCAR file:
```
RbBa2Sr2
1.0
-4.8106 -11.0175 -0.1886
9.8641 -4.3975 5.2844
-1.9073 0.7610 4.1935
Sr Ba Rb
4 4 2
Direct
0.3790 0.8790 0.0000
0.8790 0.6210 0.0000
0.6210 0.1210 0.0000
0.1210 0.3790 0.0000
0.1711 0.6711 0.5000
0.6711 0.8289 0.5000
0.8289 0.3289 0.5000
0.3289 0.1711 0.5000
0.0000 0.0000 0.0000
0.5000 0.5000 0.0000
```

Calculated values
Space-group type   P4/mbm, No. 127
Distance to the lowest polymorph of the same formula   0.000 eV/atom

=====

Rb2Ba2Sr | PBE-GGA | relaxed

POSCAR file:
```
Rb2Ba2Sr
1.0
12.3234 0.0000 0.0000
0.0000 12.3234 0.0000
0.0000 0.0000 4.7740
Sr Ba Rb
2 4 4
Direct
0.0000 0.0000 0.0000
0.5000 0.5000 0.0000
0.3740 0.8740 0.0000
0.8740 0.6260 0.0000
0.6260 0.1260 0.0000
0.1260 0.3740 0.0000
0.1734 0.6734 0.5000
0.6734 0.8266 0.5000
0.8266 0.3266 0.5000
0.3266 0.1734 0.5000
```

Calculated values
Space-group type   P4/mbm, No. 127
Distance to the lowest polymorph of the same formula   0.016 eV/atom

=====

The calculation returns the following energy of formation values, one per record and in order: 0.039 0.028 0.257 0.117 0.073 0.254 0.134 0.270 eV per atom.
The calculation returns the following Fermi-level density of states values, one per record and in order: 1.656 0.929 1.532 1.537 1.298 1.191 1.009 1.383 states/eV/atom.